# 1
DFT (PBE) results for crystalline BaScIr4 at its relaxed geometry.

The structure in CIF format:
```
data_BaScIr4
_cell_length_a 7.683
_cell_length_b 7.683
_cell_length_c 7.683
_cell_angle_alpha 90.00
_cell_angle_beta 90.00
_cell_angle_gamma 90.00
_symmetry_space_group_name_H-M 'F -4 3 m'
_symmetry_Int_Tables_number 216
_symmetry_space_group_name_Hall 'F -4 2 3'
loop_
_atom_site_label
_atom_site_fract_x
_atom_site_fract_y
_atom_site_fract_z
Ba1 0.000 0.000 0.000
Sc1 0.250 0.250 0.250
Ir1 0.124 0.124 0.624
```

E_form   -1.4 eV/f.u.
Theoretical density   13932 kg/m3
DFT total energy   -7.5130 eV/atom

=====

# 2
DFT (PBE) results for crystalline HgSb2IrW at its relaxed geometry.

The structure in CIF format:
```
data_HgSb2IrW
_cell_length_a 5.104
_cell_length_b 5.104
_cell_length_c 5.162
_cell_angle_alpha 90.00
_cell_angle_beta 90.00
_cell_angle_gamma 90.00
_symmetry_space_group_name_H-M 'P 4/m m m'
_symmetry_Int_Tables_number 123
_symmetry_space_group_name_Hall '-P 4 2'
loop_
_atom_site_label
_atom_site_fract_x
_atom_site_fract_y
_atom_site_fract_z
Hg1 0.000 0.000 0.000
Sb1 0.000 0.500 0.500
Ir1 0.000 0.000 0.500
W1 0.500 0.500 0.000
```

Theoretical density   10126 kg/m3
Formation energy from raw total energies   130.9 kJ per mole of atoms
DFT total energy   -4.7157 eV/atom

=====

# 3
DFT (PBE) results for crystalline Ta2SbRu2 at its relaxed geometry.

The structure in CIF format:
```
data_Ta2SbRu2
_cell_length_a 4.264
_cell_length_b 4.264
_cell_length_c 10.917
_cell_angle_alpha 90.00
_cell_angle_beta 90.00
_cell_angle_gamma 90.00
_symmetry_space_group_name_H-M 'I 4/m m m'
_symmetry_Int_Tables_number 139
_symmetry_space_group_name_Hall '-I 4 2'
loop_
_atom_site_label
_atom_site_fract_x
_atom_site_fract_y
_atom_site_fract_z
Ta1 0.000 0.500 0.250
Sb1 0.000 0.000 0.000
Ru1 0.000 0.000 0.381
```

Theoretical density   11474 kg/m3
Formation energy from raw total energies   2.5 kJ per mole of atoms
DFT total energy   -9.2500 eV/atom

=====

# 4
DFT (PBE) results for crystalline TiAgMo3 at its relaxed geometry.

The structure in CIF format:
```
data_TiAgMo3
_cell_length_a 4.563
_cell_length_b 4.563
_cell_length_c 4.563
_cell_angle_alpha 90.00
_cell_angle_beta 90.00
_cell_angle_gamma 90.00
_symmetry_space_group_name_H-M 'P m -3 m'
_symmetry_Int_Tables_number 221
_symmetry_space_group_name_Hall '-P 4 2 3'
loop_
_atom_site_label
_atom_site_fract_x
_atom_site_fract_y
_atom_site_fract_z
Ti1 0.000 0.000 0.000
Ag1 0.500 0.500 0.500
Mo1 0.000 0.000 0.500
```

E_form   7.4 eV/f.u.
Theoretical density   7752 kg/m3
DFT total energy   -7.1694 eV/atom

=====

> Which of these has the highest theoretical density?

BaScIr4